# 1
Nd3Dy3Si4: relaxed, PBE-GGA.

Cell lengths 4.3446, 7.5874, 7.5874 Å; angles 90.63, 90.00, 90.00 degrees
Sites, in units of the cell vectors:
Nd (0.0000, 0.0000, 0.0000)
Nd (0.0000, 0.1486, 0.5039)
Nd (0.0000, 0.5039, 0.1486)
Dy (0.0000, 0.6475, 0.6475)
Dy (0.5000, 0.3235, 0.8257)
Dy (0.5000, 0.8257, 0.3235)
Si (0.5000, 0.2131, 0.2131)
Si (0.5000, 0.4445, 0.4445)
Si (0.5000, 0.7067, 0.9333)
Si (0.5000, 0.9333, 0.7067)

## Properties
E_form (uncorrected) in meV/atom: -686

# 2
NdDy3Si2: relaxed, PBE-GGA.

Cell lengths 8.8165, 8.8165, 9.1957 Å; angles 112.26, 112.26, 28.42 degrees
Sites, in units of the cell vectors:
Nd (0.1156, 0.1156, 0.1354)
Nd (0.8844, 0.8844, 0.8646)
Dy (0.0478, 0.0478, 0.6970)
Dy (0.3089, 0.3089, 0.1159)
Dy (0.3482, 0.3482, 0.5198)
Dy (0.6518, 0.6518, 0.4802)
Dy (0.6911, 0.6911, 0.8841)
Dy (0.9522, 0.9522, 0.3030)
Si (0.2351, 0.2351, 0.7111)
Si (0.4878, 0.4878, 0.1238)
Si (0.5122, 0.5122, 0.8762)
Si (0.7649, 0.7649, 0.2889)

## Properties
E_form (uncorrected) in meV/atom: -497